The following is a PBE-GGA calculation of an optimized crystal structure of Pm3EuMn, from Alexandria.

Results
* total energy: -0.23954 hartree per atom
* volume: 164.22 Å³/f.u.
* crystal system: cubic
* theoretical density: 6.49 g/cm3
* total moment: 7.92 μB/f.u.

Lattice parameters (Å, degrees): 5.4761 5.4761 5.4761 90.00 90.00 90.00
Fractional positions:
Eu (0.5000, 0.5000, 0.5000)
Mn (0.0000, 0.0000, 0.0000)
Pm (0.0000, 0.5000, 0.0000)
Pm (0.0000, 0.0000, 0.5000)
Pm (0.5000, 0.0000, 0.0000)

=====

The following is a PBE-GGA calculation of an optimized crystal structure of ZrInW2, from Alexandria.

Results
* total energy: -0.32977 hartree per atom
* volume: 75.47 Å³/f.u.
* crystal system: monoclinic
* theoretical density: 12.62 g/cm3
* total moment: 0.00 μB/f.u.

Lattice parameters (Å, degrees): 4.8723 2.8694 5.4443 82.53 90.00 90.00
Fractional positions:
In (0.5000, 0.7500, 0.7500)
W (0.0000, 0.9578, 0.0222)
W (0.0000, 0.5422, 0.4778)
Zr (0.5000, 0.2500, 0.2500)